Density functional theory data (PBE) for a relaxed Fe3Tc crystal.

Summary:
- space group = No. 223
- formation enthalpy at 0 K (eV per formula unit) = 0.41

Cell: 4.601 4.601 4.601 Å, 90.00 90.00 90.00°
Site moments in Bohr magnetons follow the coordinates.
Positions (direct):
1 Fe 0.500 0.000 0.250  1.89
2 Fe 0.750 0.500 0.000  1.89
3 Fe 0.000 0.250 0.500  1.89
4 Tc 0.500 0.500 0.500  -0.61
5 Tc 0.000 0.000 0.000  -0.61
6 Fe 0.000 0.750 0.500  1.89
7 Fe 0.250 0.500 0.000  1.89
8 Fe 0.500 0.000 0.750  1.89


Density functional theory data (PBE) for a relaxed FeTc2 crystal.

Summary:
- space group = No. 227
- formation enthalpy at 0 K (eV per formula unit) = 1.57

Cell: 5.040 5.040 5.040 Å, 60.00 60.00 60.00°
Site moments in Bohr magnetons follow the coordinates.
Positions (direct):
1 Tc 0.625 0.625 0.125  -0.20
2 Tc 0.625 0.625 0.625  -0.20
3 Fe 0.250 0.250 0.250  2.66
4 Fe 0.000 0.000 0.000  2.66
5 Tc 0.625 0.125 0.625  -0.20
6 Tc 0.125 0.625 0.625  -0.20


Density functional theory data (PBE) for a relaxed FeTc2 crystal.

Summary:
- space group = No. 191
- formation enthalpy at 0 K (eV per formula unit) = 0.82

Cell: 4.245 4.245 2.623 Å, 90.00 90.00 120.00°
Site moments in Bohr magnetons follow the coordinates.
Positions (direct):
1 Fe 0.000 0.000 0.500  0.13
2 Tc 0.667 0.333 0.000  -0.02
3 Tc 0.333 0.667 0.000  -0.02


Density functional theory data (PBE) for a relaxed FeTc2 crystal.

Summary:
- space group = No. 63
- formation enthalpy at 0 K (eV per formula unit) = 0.18

Cell: 2.700 7.042 4.257 Å, 90.00 90.00 78.95°
Site moments in Bohr magnetons follow the coordinates.
Positions (direct):
1 Fe 0.554 0.891 0.500  0.11
2 Tc 0.220 0.560 0.500  -0.01
3 Tc 0.669 0.662 0.000  -0.01
4 Tc 0.890 0.220 0.500  -0.01
5 Fe 0.334 0.331 0.000  0.11
6 Tc 0.999 0.003 0.000  -0.01


Density functional theory data (PBE) for a relaxed Fe3Tc crystal.

Summary:
- space group = No. 62
- formation enthalpy at 0 K (eV per formula unit) = 0.57

Cell: 4.413 8.185 5.111 Å, 90.00 90.00 90.00°
Site moments in Bohr magnetons follow the coordinates.
Positions (direct):
1 Fe 0.242 0.500 0.870  -0.11
2 Fe 0.242 0.000 0.870  -0.11
3 Fe 0.583 0.750 0.373  1.29
4 Fe 0.258 0.000 0.370  -0.11
5 Tc 0.582 0.750 0.888  -0.06
6 Fe 0.742 0.500 0.630  -0.11
7 Tc 0.082 0.750 0.612  -0.06
8 Fe 0.417 0.250 0.627  1.29
9 Fe 0.917 0.250 0.873  1.29
10 Tc 0.918 0.250 0.388  -0.06
11 Fe 0.258 0.500 0.370  -0.11
12 Fe 0.758 0.000 0.130  -0.11
13 Fe 0.758 0.500 0.130  -0.11
14 Fe 0.742 0.000 0.630  -0.11
15 Tc 0.418 0.250 0.112  -0.06
16 Fe 0.083 0.750 0.127  1.29


Density functional theory data (PBE) for a relaxed Fe3Tc crystal.

Summary:
- space group = No. 59
- formation enthalpy at 0 K (eV per formula unit) = 0.13

Cell: 5.090 4.069 4.441 Å, 90.00 90.00 90.00°
Site moments in Bohr magnetons follow the coordinates.
Positions (direct):
1 Fe 0.500 0.000 0.679  -1.38
2 Fe 0.250 0.000 0.162  0.88
3 Fe 0.000 0.500 0.321  -1.38
4 Tc 0.000 0.000 0.665  -0.14
5 Fe 0.750 0.500 0.838  0.88
6 Fe 0.750 0.000 0.162  0.88
7 Tc 0.500 0.500 0.335  -0.14
8 Fe 0.250 0.500 0.838  0.88


Density functional theory data (PBE) for a relaxed FeTc3 crystal.

Summary:
- space group = No. 44
- formation enthalpy at 0 K (eV per formula unit) = 0.23

Cell: 4.662 5.074 2.712 Å, 74.50 90.00 117.35°
Positions (direct):
1 Fe 0.999 0.000 0.000
2 Tc 0.494 0.000 0.500
3 Tc 0.079 0.484 0.258
4 Tc 0.595 0.516 0.742


Density functional theory data (PBE) for a relaxed FeTc2 crystal.

Summary:
- space group = No. 189
- formation enthalpy at 0 K (eV per formula unit) = 0.84

Cell: 6.099 6.099 3.816 Å, 90.00 90.00 120.00°
Site moments in Bohr magnetons follow the coordinates.
Positions (direct):
1 Tc 0.256 0.000 0.000  -0.01
2 Tc 0.000 0.588 0.500  0.00
3 Tc 0.412 0.412 0.500  0.00
4 Fe 0.667 0.333 0.000  0.03
5 Tc 0.744 0.744 0.000  -0.01
6 Tc 0.000 0.256 0.000  -0.01
7 Tc 0.588 0.000 0.500  0.00
8 Fe 0.000 0.000 0.500  0.12
9 Fe 0.333 0.667 0.000  0.03


Electronic total energy for the records above, in order: -8.835, -9.209, -9.460, -9.673, -8.796, -8.907, -9.832, -9.452 eV/atom